# 1
VASP calculation (PBE-GGA) on an optimized crystal structure of V4Ir2Ru3.

Formation energy from the elements, eV/atom: -0.25

a b c (Å): 4.2468 4.2468 8.0367
angles (deg): 90.00 90.00 120.00
Space group P-3m1 (No. 164)
Unique sites:
V (0.0000, 0.0000, 0.1496)
V (0.3333, 0.6667, 0.3948)
Ir (0.3333, 0.6667, 0.7147)
Ru (0.0000, 0.0000, 0.5000)
Ru (0.3333, 0.6667, 0.0895)



# 2
VASP calculation (PBE-GGA) on an optimized crystal structure of VIrRu.

Formation energy from the elements, eV/atom: -0.05

a b c (Å): 4.3097 4.3097 2.6810
angles (deg): 90.00 90.00 120.00
Space group P-6m2 (No. 187)
Unique sites:
V (0.0000, 0.0000, 0.0000)
Ir (0.6667, 0.3333, 0.5000)
Ru (0.3333, 0.6667, 0.5000)



# 3
VASP calculation (PBE-GGA) on an optimized crystal structure of V2IrRu4.

Formation energy from the elements, eV/atom: -0.01

a b c (Å): 2.700 4.138 17.829
angles (deg): 90.00 90.00 90.00
Space group Immm (No. 71)
Unique sites:
V (0.000, 0.000, 0.078)
Ir (0.000, 0.000, 0.500)
Ru (0.000, 0.000, 0.357)
Ru (0.000, 0.500, 0.273)



# 4
VASP calculation (PBE-GGA) on an optimized crystal structure of V2IrRu.

Formation energy from the elements, eV/atom: -0.39

a b c (Å): 4.090 6.830 7.931
angles (deg): 90.00 90.00 90.00
Space group Amm2 (No. 38)
Unique sites:
V (0.000, 0.000, 0.000)
V (0.000, 0.000, 0.437)
V (0.500, 0.000, 0.243)
V (0.500, 0.000, 0.680)
Ir (0.000, 0.220, 0.718)
Ru (0.500, 0.223, 0.965)



# 5
VASP calculation (PBE-GGA) on an optimized crystal structure of VIr4Ru2.

Formation energy from the elements, eV/atom: 0.03

a b c (Å): 3.814 8.668 12.641
angles (deg): 90.00 90.00 90.00
Space group Cmcm (No. 63)
Unique sites:
V (0.000, 0.064, 0.250)
Ir (0.000, 0.000, 0.000)
Ir (0.000, 0.228, 0.750)
Ir (0.000, 0.422, 0.146)
Ru (0.000, 0.301, 0.558)



# 6
VASP calculation (PBE-GGA) on an optimized crystal structure of V2IrRu.

Formation energy from the elements, eV/atom: -0.38

a b c (Å): 5.819 6.667 5.702
angles (deg): 90.00 90.00 90.00
Space group Cmcm (No. 63)
Unique sites:
V (0.214, 0.000, 0.000)
Ir (0.000, 0.281, 0.250)
Ru (0.000, 0.280, 0.750)



# 7
VASP calculation (PBE-GGA) on an optimized crystal structure of VIrRu.

Formation energy from the elements, eV/atom: -0.27

a b c (Å): 5.154 5.448 6.437
angles (deg): 90.76 103.42 106.56
Space group P-1 (No. 2)
Unique sites:
V (0.136, 0.393, 0.373)
V (0.237, 0.440, 0.958)
Ir (0.102, 0.890, 0.359)
Ir (0.216, 0.921, 0.971)
Ru (0.436, 0.733, 0.691)
Ru (0.456, 0.240, 0.700)



# 8
VASP calculation (PBE-GGA) on an optimized crystal structure of V6IrRu5.

Formation energy from the elements, eV/atom: -0.24

a b c (Å): 4.264 6.040 12.824
angles (deg): 90.00 90.00 90.00
Space group Immm (No. 71)
Unique sites:
V (0.000, 0.241, 0.000)
V (0.000, 0.253, 0.330)
Ir (0.000, 0.000, 0.500)
Ru (0.000, 0.000, 0.168)
Ru (0.000, 0.500, 0.159)
Ru (0.000, 0.500, 0.500)



- The lowest formation energy from the elements belongs to which entry?
  number 4